An optimized crystal structure of TbZn4Pd. Source: Alexandria via LeMat-Bulk, functional PBE-GGA.

```
TbZn4Pd
1.0
5.219 0.000 0.000
2.609 4.520 0.000
2.609 1.507 4.261
Zn Pd Tb
4 1 1
Direct
0.626 0.122 0.626 Zn
0.626 0.626 0.626 Zn
0.122 0.626 0.626 Zn
0.626 0.626 0.122 Zn
0.000 0.000 0.000 Pd
0.250 0.250 0.250 Tb
```

Results
Offset from the most stable computed form in eV/atom: 0.015
DFT total energy in eV/atom: -2.8682
DFT formation energy in eV/atom: -0.382
Fermi-level density of states in states/eV per cell: 4.06

An optimized crystal structure of YTa2Cu. Source: Alexandria via LeMat-Bulk, functional PBE-GGA.

```
YTa2Cu
1.0
3.255 0.000 0.000
0.000 4.619 0.000
0.000 0.000 5.165
Ta Y Cu
2 1 1
Direct
0.000 0.000 0.000 Ta
0.500 0.500 0.000 Ta
0.500 0.000 0.500 Y
0.000 0.500 0.500 Cu
```

Results
Offset from the most stable computed form in eV/atom: 0.131
DFT total energy in eV/atom: -8.2500
DFT formation energy in eV/atom: 0.316
Fermi-level density of states in states/eV per cell: 4.15

An optimized crystal structure of AcGa6Ag2. Source: Alexandria via LeMat-Bulk, functional PBE-GGA.

```
AcGa6Ag2
1.0
-2.644 -0.625 -2.058
2.672 -7.541 -1.141
-5.098 1.607 6.062
Ag Ga Ac
2 6 1
Direct
0.000 0.333 0.667 Ag
0.000 0.667 0.333 Ag
0.500 0.347 0.000 Ga
0.500 0.000 0.653 Ga
0.500 0.653 0.653 Ga
0.500 0.347 0.347 Ga
0.500 0.653 0.000 Ga
0.500 0.000 0.347 Ga
0.000 0.000 0.000 Ac
```

Results
Offset from the most stable computed form in eV/atom: 0.138
DFT total energy in eV/atom: -3.1461
DFT formation energy in eV/atom: -0.038
Fermi-level density of states in states/eV per cell: 4.51

An optimized crystal structure of CaPrVN3. Source: Alexandria via LeMat-Bulk, functional PBE-GGA.

```
CaPrVN3
1.0
3.819 0.000 0.000
-1.910 6.583 0.044
0.000 -1.900 6.776
Pr N Ca V
2 6 2 2
Direct
0.647 0.295 0.573 Pr
0.353 0.705 0.427 Pr
0.503 0.007 0.252 N
0.851 0.703 0.172 N
0.149 0.297 0.828 N
0.156 0.312 0.332 N
0.497 0.993 0.748 N
0.844 0.688 0.668 N
0.343 0.686 0.920 Ca
0.657 0.314 0.080 Ca
0.999 0.998 0.212 V
0.001 0.002 0.788 V
```

Results
DFT total energy in eV/atom: -7.8158
Formation energy (no corrections) in eV/atom: -1.003
Fermi-level density of states in states/eV per cell: 2.46

An optimized crystal structure of NbFeS. Source: Alexandria via LeMat-Bulk, functional PBE-GGA.

```
NbFeS
1.0
3.166 0.000 0.000
1.583 4.411 -1.036
1.583 -3.795 7.039
S Nb Fe
2 2 2
Direct
0.869 0.560 0.703 S
0.131 0.440 0.297 S
0.203 0.940 0.653 Nb
0.797 0.060 0.347 Nb
0.756 0.406 0.082 Fe
0.244 0.594 0.918 Fe
```

Results
Offset from the most stable computed form in eV/atom: 0.117
DFT total energy in eV/atom: -7.8479
Formation energy (no corrections) in eV/atom: -0.295
Fermi-level density of states in states/eV per cell: 4.54

An optimized crystal structure of LaNp2S4. Source: Alexandria via LeMat-Bulk, functional PBE-GGA.

```
LaNp2S4
1.0
-3.253 0.657 -2.149
-1.643 -4.620 4.712
-3.487 9.623 8.220
S Np La
8 4 2
Direct
0.231 0.461 0.622 S
0.500 0.000 0.500 S
0.231 0.461 0.878 S
0.769 0.539 0.122 S
0.500 0.000 0.000 S
0.043 0.085 0.250 S
0.957 0.915 0.750 S
0.769 0.539 0.378 S
0.868 0.736 0.936 Np
0.868 0.736 0.564 Np
0.132 0.264 0.064 Np
0.132 0.264 0.436 Np
0.618 0.235 0.750 La
0.382 0.765 0.250 La
```

Results
DFT total energy in eV/atom: -8.4024
Formation energy (no corrections) in eV/atom: -1.643
Fermi-level density of states in states/eV per cell: 34.03

An optimized crystal structure of UReSi2Ru. Source: Alexandria via LeMat-Bulk, functional PBE-GGA.

```
UReSi2Ru
1.0
4.185 0.000 0.000
0.000 4.185 0.000
-2.093 -2.093 4.788
Re Si U Ru
1 2 1 1
Direct
0.750 0.250 0.500 Re
0.375 0.375 0.750 Si
0.625 0.625 0.250 Si
0.000 0.000 0.000 U
0.250 0.750 0.500 Ru
```

Results
DFT total energy in eV/atom: -9.2407
Formation energy (no corrections) in eV/atom: -0.469
Fermi-level density of states in states/eV per cell: 4.66

An optimized crystal structure of SrLaTe2I. Source: Alexandria via LeMat-Bulk, functional PBE-GGA.

```
SrLaTe2I
1.0
-0.369 -5.546 -2.709
4.146 1.787 -4.224
4.495 -2.033 3.551
Te Sr I La
2 1 1 1
Direct
0.500 0.000 0.000 Te
0.000 0.500 0.000 Te
0.500 0.500 0.500 Sr
0.000 0.000 0.500 I
0.000 0.000 0.000 La
```

Results
Offset from the most stable computed form in eV/atom: 0.000
DFT total energy in eV/atom: -4.0423
Formation energy (no corrections) in eV/atom: -1.154
Fermi-level density of states in states/eV per cell: 0.14

An optimized crystal structure of LiAgPd. Source: Alexandria via LeMat-Bulk, functional PBE-GGA.

```
LiAgPd
1.0
2.824 -0.009 0.330
0.043 5.607 0.018
0.737 1.571 6.093
Ag Li Pd
2 2 2
Direct
0.669 0.596 0.661 Ag
0.331 0.404 0.339 Ag
0.350 0.914 0.297 Li
0.650 0.086 0.703 Li
0.997 0.246 0.005 Pd
0.003 0.754 0.995 Pd
```

Results
Offset from the most stable computed form in eV/atom: 0.036
DFT total energy in eV/atom: -3.5513
DFT formation energy in eV/atom: -0.232
Fermi-level density of states in states/eV per cell: 2.63

An optimized crystal structure of Tb5Pr12Er2. Source: Alexandria via LeMat-Bulk, functional PBE-GGA.

```
Tb5Pr12Er2
1.0
3.099 -4.170 7.765
5.607 5.812 4.698
-6.735 2.807 3.628
Pr Tb Er
12 5 2
Direct
0.040 0.592 0.208 Pr
0.871 0.871 0.897 Pr
0.408 0.960 0.792 Pr
0.834 0.379 0.385 Pr
0.960 0.408 0.792 Pr
0.592 0.040 0.208 Pr
0.621 0.166 0.615 Pr
0.166 0.621 0.615 Pr
0.379 0.834 0.385 Pr
0.445 0.445 0.287 Pr
0.129 0.129 0.103 Pr
0.555 0.555 0.713 Pr
0.656 0.656 0.096 Tb
0.344 0.344 0.904 Tb
0.759 0.759 0.514 Tb
0.241 0.241 0.486 Tb
0.000 0.000 0.500 Tb
0.728 0.272 0.000 Er
0.272 0.728 0.000 Er
```

Results
Offset from the most stable computed form in eV/atom: 0.000
DFT total energy in eV/atom: -4.5927
DFT formation energy in eV/atom: 0.125
Fermi-level density of states in states/eV per cell: 26.58

An optimized crystal structure of ZrCdIrPd. Source: Alexandria via LeMat-Bulk, functional PBE-GGA.

```
ZrCdIrPd
1.0
4.363 0.000 0.000
0.000 4.363 0.000
-2.182 -2.182 3.693
Zr Ir Pd Cd
1 1 1 1
Direct
0.500 0.500 0.000 Zr
0.250 0.750 0.500 Ir
0.750 0.250 0.500 Pd
0.000 0.000 0.000 Cd
```

Results
DFT total energy in eV/atom: -6.4123
DFT formation energy in eV/atom: -0.533
Fermi-level density of states in states/eV per cell: 1.79

An optimized crystal structure of SbOsPb. Source: Alexandria via LeMat-Bulk, functional PBE-GGA.

```
SbOsPb
1.0
-1.143 -1.405 4.284
1.596 -3.072 -3.107
3.417 0.641 1.122
Sb Pb Os
1 1 1
Direct
0.333 0.667 0.833 Sb
0.667 0.333 0.333 Pb
0.000 0.000 0.834 Os
```

Results
Offset from the most stable computed form in eV/atom: 0.381
DFT total energy in eV/atom: -5.6173
Formation energy (no corrections) in eV/atom: 0.736
Fermi-level density of states in states/eV per cell: 3.10